Entry 1:
VASP calculation (PBE-GGA) on crystalline Nd12Zn3Ni5 at its relaxed geometry.

The size of the total moment comes out at 0.0 μB per formula unit. The formation energy is 0.08 eV/atom.

The space group is Ia-3d (No. 230) and the conventional cell measures 16.9013, 16.9013 and 16.9013 Å, with angles of 90.00, 90.00 and 90.00 degrees. Symmetry generates all atoms from Nd at (0.0249, 0.0623, 0.6498), Zn at (0.0000, 0.2500, 0.1250), Ni at (0.0000, 0.0000, 0.0000) and Ni at (0.0000, 0.2500, 0.3750).

***

Entry 2:
VASP calculation (PBE-GGA) on crystalline Er4Tm7Th at its relaxed geometry.

Its polymorph energy (0 for the lowest one) is 0.0 meV/atom. The size of the total moment comes out at 0.0 μB per formula unit. The formation energy is 0.08 eV/atom.

The space group is P-1 (No. 2) and the conventional cell measures 6.6566, 6.8776 and 8.5646 Å, with angles of 79.46, 76.98 and 76.63 degrees. Symmetry generates all atoms from Er at (0.1559, 0.2696, 0.3168), Er at (0.3145, 0.8921, 0.6660), Tm at (0.0206, 0.2497, 0.9750), Tm at (0.1786, 0.7655, 0.3275), Tm at (0.3202, 0.3939, 0.6336), Tm at (0.5000, 0.0000, 0.0000) and Th at (0.5000, 0.5000, 0.0000).

***

Entry 3:
VASP calculation (PBE-GGA) on crystalline ErInHg6 at its relaxed geometry.

Its polymorph energy (0 for the lowest one) is 227.0 meV/atom. The size of the total moment comes out at 0.0 μB per formula unit. The formation energy is 0.08 eV/atom.

The space group is R-3m (No. 166, hexagonal axes) and the conventional cell measures 6.3338, 6.3338 and 23.0346 Å, with angles of 90.00, 90.00 and 120.00 degrees. Symmetry generates all atoms from Er at (0.0000, 0.0000, 0.0000), In at (0.0000, 0.0000, 0.5000) and Hg at (0.0127, 0.5063, 0.4339).